The following is a DFT calculation (GGA+U) of a geometry-optimized CoHO2 structure. Values from VASP.

Results
For the total magnetization, the calculation gives 2.0 μB per formula unit. The energy is -17.41 eV per formula unit. As for the calculated volume: 7.40 Å³ per atom. Its symmetry is Fm-3m, No. 225.

Geometry as Quantum ESPRESSO input:
```
&SYSTEM
  ibrav = 0, nat = 4, ntyp = 3
/
ATOMIC_SPECIES
Co 58.93 Co.upf
H 1.01 H.upf
O 16.00 O.upf
ATOMIC_POSITIONS angstrom
Co 0.000 0.000 0.000
H 2.455 2.455 2.455
O 1.227 1.227 1.227
O 3.682 3.682 3.682
CELL_PARAMETERS angstrom
0.000 2.455 2.455
2.455 0.000 2.455
2.455 2.455 0.000
```